Below is an optimized crystal structure of Zr3V5O12, with properties calculated at the GGA+U level.

Results
The spin magnetization comes out at 0.6313 μB per atom. The total energy is -8.424 eV/atom.

Cell lengths 10.7237, 10.7237, 10.7237 Å; angles 109.47, 109.47, 109.47 degrees
Site moments in Bohr magnetons follow the coordinates.
Fractional coordinates of all 80 atoms:
Zr1 0.7500 0.3750 0.1250  0.15
Zr2 0.8750 0.7500 0.1250  0.15
Zr3 0.3750 0.7500 0.6250  0.15
Zr4 0.2500 0.1250 0.3750  0.15
Zr5 0.8750 0.1250 0.2500  0.15
Zr6 0.3750 0.6250 0.2500  0.15
Zr7 0.6250 0.3750 0.7500  0.15
Zr8 0.1250 0.8750 0.7500  0.15
Zr9 0.7500 0.8750 0.6250  0.15
Zr10 0.6250 0.2500 0.3750  0.15
Zr11 0.1250 0.2500 0.8750  0.15
Zr12 0.2500 0.6250 0.8750  0.15
V1 0.1250 0.3750 0.2500  2.02
V2 0.0000 0.5000 0.0000  2.58
V3 0.0000 0.0000 0.0000  2.58
V4 0.3750 0.2500 0.1250  2.02
V5 0.5000 0.0000 0.5000  2.58
V6 0.5000 0.5000 0.0000  2.58
V7 0.1250 0.7500 0.3750  2.02
V8 0.7500 0.1250 0.8750  2.02
V9 0.7500 0.6250 0.3750  2.02
V10 0.3750 0.1250 0.7500  2.02
V11 0.6250 0.8750 0.2500  2.02
V12 0.5000 0.5000 0.5000  2.58
V13 0.5000 0.0000 0.0000  2.58
V14 0.0000 0.0000 0.5000  2.58
V15 0.2500 0.3750 0.6250  2.02
V16 0.2500 0.8750 0.1250  2.02
V17 0.0000 0.5000 0.5000  2.58
V18 0.8750 0.2500 0.6250  2.02
V19 0.6250 0.7500 0.8750  2.02
V20 0.8750 0.6250 0.7500  2.02
O1 0.7236 0.1342 0.0460  -0.01
O2 0.3224 0.5460 0.4118  -0.01
O3 0.9540 0.3658 0.2764  -0.01
O4 0.5460 0.2236 0.1342  -0.01
O5 0.5894 0.7236 0.6776  -0.01
O6 0.9540 0.5882 0.1776  -0.01
O7 0.3224 0.7764 0.4106  -0.01
O8 0.0882 0.9106 0.1342  -0.01
O9 0.5882 0.9540 0.6776  -0.01
O10 0.7236 0.5894 0.1776  -0.01
O11 0.7764 0.4540 0.3658  -0.01
O12 0.8224 0.9118 0.0460  -0.01
O13 0.1342 0.7236 0.5460  -0.01
O14 0.3658 0.4118 0.0894  -0.01
O15 0.0894 0.9118 0.3658  -0.01
O16 0.4106 0.1342 0.5882  -0.01
O17 0.0894 0.1776 0.2236  -0.01
O18 0.4540 0.6776 0.0882  -0.01
O19 0.8224 0.9106 0.2764  -0.01
O20 0.1342 0.4106 0.0882  -0.01
O21 0.3658 0.9540 0.7764  -0.01
O22 0.5882 0.6342 0.4106  -0.01
O23 0.9118 0.8224 0.5460  -0.01
O24 0.7764 0.3224 0.9106  -0.01
O25 0.4118 0.3658 0.5894  -0.01
O26 0.0882 0.1776 0.4540  -0.01
O27 0.2236 0.6776 0.0894  -0.01
O28 0.1776 0.0894 0.7236  -0.01
O29 0.6342 0.0460 0.2236  -0.01
O30 0.8658 0.5894 0.9118  -0.01
O31 0.5460 0.3224 0.9118  -0.01
O32 0.5894 0.8658 0.4118  -0.01
O33 0.9106 0.8224 0.7764  -0.01
O34 0.9106 0.0882 0.6342  -0.01
O35 0.8658 0.2764 0.4540  -0.01
O36 0.1776 0.0882 0.9540  -0.01
O37 0.6342 0.5882 0.9106  -0.01
O38 0.4118 0.0460 0.3224  -0.01
O39 0.2764 0.4106 0.8224  -0.01
O40 0.2236 0.5460 0.6342  -0.01
O41 0.9118 0.0894 0.8658  -0.01
O42 0.6776 0.2236 0.5894  -0.01
O43 0.4540 0.7764 0.8658  -0.01
O44 0.0460 0.4118 0.8224  -0.01
O45 0.4106 0.2764 0.3224  -0.01
O46 0.0460 0.6342 0.7236  -0.01
O47 0.6776 0.4540 0.5882  -0.01
O48 0.2764 0.8658 0.9540  -0.01